No. 1
# PBE GaCuCl4, relaxed
data_GaCuCl4
_cell_length_a 5.665
_cell_length_b 5.665
_cell_length_c 10.054
_cell_angle_alpha 90.00
_cell_angle_beta 90.00
_cell_angle_gamma 90.00
_space_group_name_H-M_alt 'P -4 2 c'
_space_group_IT_number 112
loop_
_space_group_symop_operation_xyz
'x,y,z'
'y,-x,-z'
'-x,-y,z'
'-y,x,-z'
'x,-y,-z+1/2'
'y,x,z+1/2'
'-x,y,-z+1/2'
'-y,-x,z+1/2'
loop_
_atom_site_label
_atom_site_type_symbol
_atom_site_fract_x
_atom_site_fract_y
_atom_site_fract_z
_atom_site_occupancy
Ga1 Ga 0.000 0.500 0.250 1
Cu1 Cu 0.000 0.000 0.000 1
Cl1 Cl 0.224 0.270 0.124 1
# **V**: 323 Å³/cell
# **Mass density**: 2.83 g/cm³
# **DOS(E_F)**: 0.00 states/eV/atom

***

No. 2
# PBE Ga2CuCl6, relaxed
data_Ga2CuCl6
_cell_length_a 13.803
_cell_length_b 13.932
_cell_length_c 7.790
_cell_angle_alpha 90.00
_cell_angle_beta 122.30
_cell_angle_gamma 90.00
_space_group_name_H-M_alt 'C 1 2/c 1'
_space_group_IT_number 15
loop_
_space_group_symop_operation_xyz
'x,y,z'
'-x,-y,-z'
'-x,y,-z+1/2'
'x,-y,z+1/2'
'x+1/2,y+1/2,z'
'-x+1/2,-y+1/2,-z'
'-x+1/2,y+1/2,-z+1/2'
'x+1/2,-y+1/2,z+1/2'
loop_
_atom_site_label
_atom_site_type_symbol
_atom_site_fract_x
_atom_site_fract_y
_atom_site_fract_z
_atom_site_occupancy
Ga1 Ga 0.207 0.086 0.297 1
Cu1 Cu 0.000 0.303 0.250 1
Cl1 Cl 0.101 0.405 0.535 1
Cl2 Cl 0.130 0.236 0.190 1
Cl3 Cl 0.151 0.010 0.504 1
# **V**: 1266 Å³/cell
# **Mass density**: 2.18 g/cm³
# **DOS(E_F)**: 0.28 states/eV/atom
# **Polymorph energy (0 for the lowest one)**: 8.0 meV per atom

***

No. 3
# PBE GaCuCl4, relaxed
data_GaCuCl4
_cell_length_a 6.077
_cell_length_b 6.092
_cell_length_c 10.625
_cell_angle_alpha 90.00
_cell_angle_beta 90.00
_cell_angle_gamma 90.00
_space_group_name_H-M_alt 'P 2 2 2'
_space_group_IT_number 16
loop_
_space_group_symop_operation_xyz
'x,y,z'
'-x,-y,z'
'x,-y,-z'
'-x,y,-z'
loop_
_atom_site_label
_atom_site_type_symbol
_atom_site_fract_x
_atom_site_fract_y
_atom_site_fract_z
_atom_site_occupancy
Ga1 Ga 0.000 0.000 0.000 1
Ga2 Ga 0.500 0.000 0.500 1
Cu1 Cu 0.000 0.000 0.500 1
Cu2 Cu 0.000 0.500 0.000 1
Cl1 Cl 0.201 0.231 0.887 1
Cl2 Cl 0.270 0.203 0.388 1
# **V**: 393 Å³/cell
# **Mass density**: 2.32 g/cm³
# **DOS(E_F)**: 0.00 states/eV/atom

***

No. 4
# PBE Ga3Cu5Cl12, relaxed
data_Ga3Cu5Cl12
_cell_length_a 15.455
_cell_length_b 15.455
_cell_length_c 15.455
_cell_angle_alpha 90.00
_cell_angle_beta 90.00
_cell_angle_gamma 90.00
_space_group_name_H-M_alt 'I a -3 d'
_space_group_IT_number 230
_space_group_name_Hall '-I 4bd 2c 3'
loop_
_atom_site_label
_atom_site_type_symbol
_atom_site_fract_x
_atom_site_fract_y
_atom_site_fract_z
_atom_site_occupancy
Ga1 Ga 0.000 0.250 0.125 1
Cu1 Cu 0.000 0.000 0.000 1
Cu2 Cu 0.000 0.250 0.375 1
Cl1 Cl 0.030 0.050 0.648 1
# **V**: 3691 Å³/cell
# **Mass density**: 3.43 g/cm³
# **DOS(E_F)**: 1.04 states/eV/atom

***

No. 5
# PBE GaCuCl, relaxed
data_GaCuCl
_cell_length_a 10.930
_cell_length_b 3.534
_cell_length_c 6.260
_cell_angle_alpha 90.00
_cell_angle_beta 90.00
_cell_angle_gamma 90.00
_space_group_name_H-M_alt 'A m m 2'
_space_group_IT_number 38
loop_
_space_group_symop_operation_xyz
'x,y,z'
'-x,-y,z'
'-x,y,z'
'x,-y,z'
'x,y+1/2,z+1/2'
'-x,-y+1/2,z+1/2'
'-x,y+1/2,z+1/2'
'x,-y+1/2,z+1/2'
loop_
_atom_site_label
_atom_site_type_symbol
_atom_site_fract_x
_atom_site_fract_y
_atom_site_fract_z
_atom_site_occupancy
Ga1 Ga 0.131 0.000 0.000 1
Cu1 Cu 0.000 0.000 0.671 1
Cu2 Cu 0.500 0.000 0.518 1
Cl1 Cl 0.354 0.000 0.024 1
# **V**: 242 Å³/cell
# **Mass density**: 4.63 g/cm³
# **DOS(E_F)**: 0.15 states/eV/atom

***

No. 6
# PBE GaCu2Cl, relaxed
data_GaCu2Cl
_cell_length_a 6.432
_cell_length_b 6.432
_cell_length_c 6.432
_cell_angle_alpha 90.00
_cell_angle_beta 90.00
_cell_angle_gamma 90.00
_space_group_name_H-M_alt 'F m -3 m'
_space_group_IT_number 225
_space_group_name_Hall '-F 4 2 3'
loop_
_atom_site_label
_atom_site_type_symbol
_atom_site_fract_x
_atom_site_fract_y
_atom_site_fract_z
_atom_site_occupancy
Ga1 Ga 0.000 0.000 0.000 1
Cu1 Cu 0.250 0.250 0.250 1
Cl1 Cl 0.000 0.000 0.500 1
# **V**: 266 Å³/cell
# **Mass density**: 5.80 g/cm³
# **DOS(E_F)**: 1.26 states/eV/atom
# **Polymorph energy (0 for the lowest one)**: 295.8 meV per atom

***

No. 7
# PBE GaCu3Cl, relaxed
data_GaCu3Cl
_cell_length_a 4.513
_cell_length_b 4.513
_cell_length_c 4.513
_cell_angle_alpha 90.00
_cell_angle_beta 90.00
_cell_angle_gamma 90.00
_space_group_name_H-M_alt 'P m -3 m'
_space_group_IT_number 221
_space_group_name_Hall '-P 4 2 3'
loop_
_atom_site_label
_atom_site_type_symbol
_atom_site_fract_x
_atom_site_fract_y
_atom_site_fract_z
_atom_site_occupancy
Ga1 Ga 0.000 0.000 0.000 1
Cu1 Cu 0.000 0.500 0.500 1
Cl1 Cl 0.500 0.500 0.500 1
# **V**: 92 Å³/cell
# **Mass density**: 5.34 g/cm³
# **DOS(E_F)**: 0.60 states/eV/atom
# **Polymorph energy (0 for the lowest one)**: 77.6 meV per atom

***

No. 8
# PBE GaCuCl5, relaxed
data_GaCuCl5
_cell_length_a 7.170
_cell_length_b 7.173
_cell_length_c 8.831
_cell_angle_alpha 109.78
_cell_angle_beta 106.26
_cell_angle_gamma 103.45
_space_group_name_H-M_alt 'P 1'
_space_group_IT_number 1
loop_
_space_group_symop_operation_xyz
'x,y,z'
loop_
_atom_site_label
_atom_site_type_symbol
_atom_site_fract_x
_atom_site_fract_y
_atom_site_fract_z
_atom_site_occupancy
Ga1 Ga 0.000 0.000 0.000 1
Ga2 Ga 0.287 0.760 0.526 1
Cu1 Cu 0.144 0.378 0.762 1
Cu2 Cu 0.643 0.879 0.262 1
Cl1 Cl 0.288 0.133 0.223 1
Cl2 Cl 0.355 0.543 0.656 1
Cl3 Cl 0.358 0.072 0.727 1
Cl4 Cl 0.394 0.561 0.046 1
Cl5 Cl 0.575 0.764 0.458 1
Cl6 Cl 0.711 0.995 0.067 1
Cl7 Cl 0.893 0.197 0.479 1
Cl8 Cl 0.929 0.688 0.799 1
Cl9 Cl 0.932 0.217 0.870 1
Cl10 Cl 0.998 0.627 0.303 1
# **V**: 382 Å³/cell
# **Mass density**: 2.70 g/cm³
# **DOS(E_F)**: 0.05 states/eV/atom

***

Values of size of the total moment, in order: 0.1; 0.0; 0.1; 3.8; 0.0; 0.0; 0.0; 0.0, all in μB per formula unit.
Values of uncorrected formation energy, in order: -5.43; -7.42; -5.28; -10.77; -0.60; 1.53; 3.49; -5.56, all in eV/f.u..